# Pr4GaCoBr2

An optimized crystal structure of Pr4GaCoBr2 (PBE, the Alexandria database).

Summary:
Formation energy without anion corrections   -0.774 eV/atom
Crystal system   monoclinic
E   -0.3564 Ry per atom

a b c (Å): 7.551 4.060 8.073
angles (deg): 90.00 107.19 90.00
Atoms (fractional coordinates):
Pr  0.226  0.000  0.200
Pr  0.228  0.500  0.797
Pr  0.772  0.500  0.203
Pr  0.774  0.000  0.800
Ga  0.500  0.000  0.000
Co  0.000  0.500  0.000
Br  0.000  0.000  0.500
Br  0.500  0.500  0.500

# Sr2TaGe3Pt4

An optimized crystal structure of Sr2TaGe3Pt4 (PBE, the Alexandria database).

Summary:
Crystal system   tetragonal
E   -0.4438 Ry per atom

a b c (Å): 4.412 4.412 10.488
angles (deg): 90.00 90.00 90.00
Atoms (fractional coordinates):
Sr  0.000  0.500  0.242
Sr  0.500  0.000  0.758
Ta  0.000  0.000  0.500
Ge  0.000  0.500  0.874
Ge  0.500  0.000  0.126
Ge  0.500  0.500  0.500
Pt  0.000  0.000  0.000
Pt  0.000  0.500  0.633
Pt  0.500  0.000  0.367
Pt  0.500  0.500  0.000

# Y2Ni

An optimized crystal structure of Y2Ni (PBE, the Alexandria database).

Summary:
Crystal system   trigonal
E   -0.4694 Ry per atom

a b c (Å): 3.946 3.946 6.137
angles (deg): 90.00 90.00 120.00
Atoms (fractional coordinates):
Y  0.333  0.667  0.240
Y  0.667  0.333  0.760
Ni  0.000  0.000  0.000

Values of V, in order: 29.56; 20.41; 27.58, all in A^3/atom.